No. 1
! Na3Y2SnS6 (PBE, optimized geometry); values from VASP
&SYSTEM
  ibrav = 0, nat = 12, ntyp = 4
/
ATOMIC_SPECIES
Na 22.99 Na.upf
Y 88.91 Y.upf
Sn 118.71 Sn.upf
S 32.06 S.upf
ATOMIC_POSITIONS angstrom
Na 0.0000 0.0000 0.0000
Na 3.4538 1.9582 0.0000
Na 3.4538 -1.9582 0.0000
Y 2.3014 3.9846 3.3361
Y 2.3014 -3.9846 3.3361
Sn 2.3014 0.0000 3.3361
S 1.1532 1.9858 1.8211
S 0.0046 0.0000 4.8444
S 1.1532 -1.9858 1.8211
S 3.4496 1.9858 4.8511
S 4.5982 0.0000 1.8278
S 3.4496 -1.9858 4.8511
CELL_PARAMETERS angstrom
3.4538 -5.9809 0.0000
3.4538 5.9809 0.0000
-2.3048 0.0000 6.6722
! Formation energy from raw total energies in kJ/mol of atoms: -140



No. 2
! Na2Y2SnS6 (PBE, optimized geometry); values from VASP
&SYSTEM
  ibrav = 0, nat = 11, ntyp = 4
/
ATOMIC_SPECIES
Na 22.99 Na.upf
Y 88.91 Y.upf
Sn 118.71 Sn.upf
S 32.06 S.upf
ATOMIC_POSITIONS angstrom
Na 3.3962 3.9155 0.0000
Na 3.3962 -3.9155 0.0000
Y 2.3217 1.9627 3.4128
Y 2.3217 -1.9627 3.4128
Sn -1.0745 0.0000 3.4128
S 0.0129 1.8867 4.9126
S 1.0239 0.0000 1.9369
S 0.0129 -1.8867 4.9126
S 4.6305 1.8867 1.9129
S 3.6195 0.0000 4.8886
S 4.6305 -1.8867 1.9129
CELL_PARAMETERS angstrom
3.3962 -5.8593 0.0000
3.3962 5.8593 0.0000
-2.1490 0.0000 6.8255
! Formation energy from raw total energies in kJ/mol of atoms: -136



No. 3
! NaZn2SnS4 (PBE, optimized geometry); values from VASP
&SYSTEM
  ibrav = 0, nat = 8, ntyp = 4
/
ATOMIC_SPECIES
Na 22.99 Na.upf
Zn 65.41 Zn.upf
Sn 118.71 Sn.upf
S 32.06 S.upf
ATOMIC_POSITIONS angstrom
Na 0.0000 0.0000 0.0000
Zn 2.8617 0.0000 2.9793
Zn 0.0000 2.8617 2.9793
Sn 0.0000 0.0000 5.9587
S 1.3988 -1.3988 4.2539
S 1.4629 1.4629 1.7048
S -1.3988 1.3988 4.2539
S 1.3988 1.3988 7.6634
CELL_PARAMETERS angstrom
-2.8617 2.8617 5.9587
2.8617 -2.8617 5.9587
2.8617 2.8617 -5.9587
! Formation energy from raw total energies in kJ/mol of atoms: -61



No. 4
! Na3ZrSn3S8 (PBE, optimized geometry); values from VASP
&SYSTEM
  ibrav = 0, nat = 15, ntyp = 4
/
ATOMIC_SPECIES
Na 22.99 Na.upf
Zr 91.22 Zr.upf
Sn 118.71 Sn.upf
S 32.06 S.upf
ATOMIC_POSITIONS angstrom
Na 0.0000 0.0000 0.0000
Na 3.3644 1.9469 0.0000
Na 3.3644 -1.9469 0.0000
Zr -2.2439 0.0000 3.4014
Sn 1.1205 1.9469 3.4014
Sn 1.1205 -1.9469 3.4014
Sn 4.4849 0.0000 3.4014
S 3.4067 2.0274 4.8430
S -0.0911 0.0000 4.8411
S 5.5630 2.0274 1.9598
S 2.2427 0.0000 1.8221
S 6.7270 0.0000 4.9807
S 3.4067 -2.0274 4.8430
S 9.0608 0.0000 1.9617
S 5.5630 -2.0274 1.9598
CELL_PARAMETERS angstrom
6.7287 -3.8939 0.0000
6.7287 3.8939 0.0000
-4.4877 0.0000 6.8028
! Formation energy from raw total energies in kJ/mol of atoms: -85



No. 5
! Na2ZrSnS4 (PBE, optimized geometry); values from VASP
&SYSTEM
  ibrav = 0, nat = 8, ntyp = 4
/
ATOMIC_SPECIES
Na 22.99 Na.upf
Zr 91.22 Zr.upf
Sn 118.71 Sn.upf
S 32.06 S.upf
ATOMIC_POSITIONS angstrom
Na 0.0000 0.0000 0.0000
Na -1.1089 1.9408 3.3266
Zr 2.3620 0.0000 3.3266
Sn 3.4709 1.9408 0.0000
S 0.2914 0.0000 4.8578
S 1.3405 1.9408 1.8432
S 3.3835 1.9408 4.8100
S 4.4326 0.0000 1.7953
CELL_PARAMETERS angstrom
6.9417 0.0000 0.0000
0.0000 3.8816 0.0000
-2.2177 0.0000 6.6531
! Formation energy from raw total energies in kJ/mol of atoms: -112



No. 6
! Na2ZrSnS5 (PBE, optimized geometry); values from VASP
&SYSTEM
  ibrav = 0, nat = 18, ntyp = 4
/
ATOMIC_SPECIES
Na 22.99 Na.upf
Zr 91.22 Zr.upf
Sn 118.71 Sn.upf
S 32.06 S.upf
ATOMIC_POSITIONS angstrom
Na 1.9040 6.6810 6.7658
Na 1.9040 5.9732 1.9950
Na 1.9040 -5.9732 8.7608
Na 1.9040 -6.6810 0.0000
Zr 1.9040 4.3236 11.8522
Zr 1.9040 -4.3236 5.0864
Sn 1.9040 0.8328 3.6587
Sn 1.9040 -0.8328 10.4245
S 1.9040 7.2135 12.0054
S 1.9040 3.7477 6.7794
S 1.9040 3.3233 3.2929
S 1.9040 2.0111 11.3032
S 1.9040 0.0649 8.2575
S 1.9040 -0.0649 1.4917
S 1.9040 -2.0111 4.5374
S 1.9040 -3.3233 10.0586
S 1.9040 -3.7477 0.0136
S 1.9040 -7.2135 5.2397
CELL_PARAMETERS angstrom
1.9040 -8.2445 0.0000
1.9040 8.2445 0.0000
0.0000 0.0000 13.5316
! Formation energy from raw total energies in kJ/mol of atoms: -99



No. 7
! NaSr5S6 (PBE, optimized geometry); values from VASP
&SYSTEM
  ibrav = 0, nat = 12, ntyp = 3
/
ATOMIC_SPECIES
Na 22.99 Na.upf
Sr 87.62 Sr.upf
S 32.06 S.upf
ATOMIC_POSITIONS angstrom
Na 0.0000 0.0000 0.0000
Sr 2.4671 4.3024 3.4845
Sr 3.6979 2.1423 0.0000
Sr 2.4671 0.0000 3.4845
Sr 3.6979 -2.1423 0.0000
Sr 2.4671 -4.3024 3.4845
S 1.2498 2.1614 1.7600
S 0.0320 0.0000 5.2187
S 1.2498 -2.1614 1.7600
S 3.6843 2.1614 5.2089
S 4.9022 0.0000 1.7503
S 3.6843 -2.1614 5.2089
CELL_PARAMETERS angstrom
3.6979 -6.4064 0.0000
3.6979 6.4064 0.0000
-2.4617 0.0000 6.9689
! Formation energy from raw total energies in kJ/mol of atoms: -178



No. 8
! NaSrS2 (PBE, optimized geometry); values from VASP
&SYSTEM
  ibrav = 0, nat = 4, ntyp = 3
/
ATOMIC_SPECIES
Na 22.99 Na.upf
Sr 87.62 Sr.upf
S 32.06 S.upf
ATOMIC_POSITIONS angstrom
Na 0.0000 0.0000 0.0000
Sr 2.4569 2.4569 0.0000
S 0.0000 2.4569 1.8873
S 2.4569 0.0000 1.8873
CELL_PARAMETERS angstrom
4.9138 0.0000 0.0000
0.0000 4.9138 0.0000
0.0000 0.0000 3.7746
! Formation energy from raw total energies in kJ/mol of atoms: -115



No. 9
! Na2Sr4S (PBE, optimized geometry); values from VASP
&SYSTEM
  ibrav = 0, nat = 7, ntyp = 3
/
ATOMIC_SPECIES
Na 22.99 Na.upf
Sr 87.62 Sr.upf
S 32.06 S.upf
ATOMIC_POSITIONS angstrom
Na 0.0000 0.0000 2.6508
Na 0.0000 0.0000 16.5386
Sr 2.8828 0.0000 0.0000
Sr 0.0000 0.0000 6.3495
Sr 0.0000 2.8828 0.0000
Sr 0.0000 0.0000 12.8399
S 0.0000 0.0000 9.5947
CELL_PARAMETERS angstrom
-2.8828 2.8828 9.5947
2.8828 -2.8828 9.5947
2.8828 2.8828 -9.5947
! Formation energy from raw total energies in kJ/mol of atoms: -43



No. 10
! NaSr3S (PBE, optimized geometry); values from VASP
&SYSTEM
  ibrav = 0, nat = 5, ntyp = 3
/
ATOMIC_SPECIES
Na 22.99 Na.upf
Sr 87.62 Sr.upf
S 32.06 S.upf
ATOMIC_POSITIONS angstrom
Na 0.0000 0.0000 0.0000
Sr 0.0000 0.0000 3.1127
Sr 0.0000 3.1127 0.0000
Sr 3.1127 0.0000 0.0000
S 3.1127 3.1127 3.1127
CELL_PARAMETERS angstrom
6.2254 0.0000 0.0000
0.0000 6.2254 0.0000
0.0000 0.0000 6.2254
! Energy above the most stable polymorph in this dataset in meV/atom: 1041
! Formation energy from raw total energies in kJ/mol of atoms: 29



No. 11
! Na2SrS (PBE, optimized geometry); values from VASP
&SYSTEM
  ibrav = 0, nat = 8, ntyp = 3
/
ATOMIC_SPECIES
Na 22.99 Na.upf
Sr 87.62 Sr.upf
S 32.06 S.upf
ATOMIC_POSITIONS angstrom
Na 2.4677 1.3215 -0.7188
Na 3.6140 -2.4677 3.5939
Na 2.4677 3.6140 2.1564
Na 1.3215 7.4032 0.7188
Sr 4.9355 0.0000 1.4376
Sr 0.0000 0.0000 2.8751
S 0.0000 0.0000 0.0000
S 0.0000 4.9355 1.4376
CELL_PARAMETERS angstrom
-4.9355 4.9355 2.8751
4.9355 -4.9355 2.8751
4.9355 4.9355 -2.8751
! Formation energy from raw total energies in kJ/mol of atoms: -65



No. 12
! NaSr2S2 (PBE, optimized geometry); values from VASP
&SYSTEM
  ibrav = 0, nat = 10, ntyp = 3
/
ATOMIC_SPECIES
Na 22.99 Na.upf
Sr 87.62 Sr.upf
S 32.06 S.upf
ATOMIC_POSITIONS angstrom
Na 0.0000 0.0000 0.0000
Na 4.0389 4.0389 0.0000
Sr 1.2406 2.7983 2.0124
Sr 2.7983 6.8372 2.0124
Sr 5.2795 1.2406 2.0124
Sr 6.8372 5.2795 2.0124
S 1.2558 5.2946 0.0000
S 2.7831 1.2558 0.0000
S 5.2946 6.8220 0.0000
S 6.8220 2.7831 0.0000
CELL_PARAMETERS angstrom
8.0778 0.0000 0.0000
0.0000 8.0778 0.0000
0.0000 0.0000 4.0247
! Formation energy from raw total energies in kJ/mol of atoms: -143



What is the formation energy from raw total energies in the second record?
-136 kJ/mol of atoms



Which formula does entry 2 have?
Na2Y2SnS6



formation energy from raw total energies of number 9 (Na2Sr4S)?
-43 kJ/mol of atoms